Here is HgC3F at its PBEsol-relaxed geometry from Alexandria. Energies are from meta-GGA SCAN.

Lattice parameters (Å, degrees): 3.8484 3.8484 3.8484 90.00 90.00 90.00
Closest atoms and distances in Å follow each position.
Space group Pm-3m (No. 221)
Unique sites:
Hg (0.0000, 0.0000, 0.0000) [1 per cell]  12 C 2.72
C (0.0000, 0.5000, 0.5000) [3 per cell]  2 F 1.92
F (0.5000, 0.5000, 0.5000) [1 per cell]  6 C 1.92

Computed properties:
- Total magnetization: 0.136 μB/atom
- ρ: 7.4 g/cm³
- Raw formation energy: 3.335 eV/atom
- N(E_F): 2.65 states/eV/cell
- Calculated volume: 11.399 A^3/atom



Here is HgCF2 at its PBEsol-relaxed geometry from Alexandria. Energies are from meta-GGA SCAN.

Lattice parameters (Å, degrees): 2.9353 2.9353 23.0237 90.00 90.00 120.00
Closest atoms and distances in Å follow each position.
Space group R-3m (No. 166, hexagonal axes)
Unique sites:
Hg (0.0000, 0.0000, 0.0000) [3 per cell]  2 F 2.81, 6 Hg 2.94
C (0.0000, 0.0000, 0.5000) [3 per cell]  6 F 1.98
F (0.0000, 0.0000, 0.1220) [6 per cell]  3 C 1.98

Computed properties:
- Total magnetization: 0.000 μB/atom
- ρ: 7.3 g/cm³
- Raw formation energy: 0.557 eV/atom
- N(E_F): 2.24 states/eV/cell
- Calculated volume: 14.316 A^3/atom



Here is KHgC2F at its PBEsol-relaxed geometry from Alexandria. Energies are from meta-GGA SCAN.

Lattice parameters (Å, degrees): 4.3617 4.3617 5.0869 90.00 90.00 90.00
Closest atoms and distances in Å follow each position.
Space group P4/mmm (No. 123)
Unique sites:
K (0.0000, 0.0000, 0.0000) [1 per cell]  4 Hg 3.08, 8 C 3.35
Hg (0.5000, 0.5000, 0.0000) [1 per cell]  2 F 2.54
C (0.0000, 0.5000, 0.5000) [2 per cell]  2 F 2.18
F (0.5000, 0.5000, 0.5000) [1 per cell]  4 C 2.18

Computed properties:
- Total magnetization: 0.767 μB/atom
- ρ: 4.9 g/cm³
- Raw formation energy: 1.881 eV/atom
- N(E_F): 0.92 states/eV/cell
- Calculated volume: 19.355 A^3/atom



Here is Ho2CF2 at its PBEsol-relaxed geometry from Alexandria. Energies are from meta-GGA SCAN.

Lattice parameters (Å, degrees): 3.6008 3.6008 6.2670 90.00 90.00 120.00
Closest atoms and distances in Å follow each position.
Space group P-3m1 (No. 164)
Unique sites:
Ho (0.3333, 0.6667, 0.2132) [2 per cell]  4 F 2.34-2.51, 3 C 2.47
C (0.0000, 0.0000, 0.0000) [1 per cell]  6 Ho 2.47
F (0.3333, 0.6667, 0.6143) [2 per cell]  4 Ho 2.34-2.51, 3 F 2.52

Computed properties:
- Total magnetization: 0.000 μB/atom
- ρ: 9.0 g/cm³
- Raw formation energy: -2.694 eV/atom
- Calculated volume: 14.074 A^3/atom



Here is SrCI2F at its PBEsol-relaxed geometry from Alexandria. Energies are from meta-GGA SCAN.

Lattice parameters (Å, degrees): 4.6718 4.6718 5.4583 90.00 90.00 90.00
Closest atoms and distances in Å follow each position.
Space group P4/mmm (No. 123)
Unique sites:
Sr (0.0000, 0.0000, 0.0000) [1 per cell]  2 C 2.73
C (0.0000, 0.0000, 0.5000) [1 per cell]  4 I 2.34
I (0.0000, 0.5000, 0.5000) [2 per cell]  2 C 2.34
F (0.5000, 0.5000, 0.0000) [1 per cell]  4 Sr 3.30, 8 I 3.59

Computed properties:
- Total magnetization: 0.000 μB/atom
- ρ: 5.2 g/cm³
- Raw formation energy: -0.231 eV/atom
- N(E_F): 1.58 states/eV/cell
- Calculated volume: 23.827 A^3/atom



Here is InCF3 at its PBEsol-relaxed geometry from Alexandria. Energies are from meta-GGA SCAN.

Lattice parameters (Å, degrees): 4.1683 4.1683 4.1683 90.00 90.00 90.00
Closest atoms and distances in Å follow each position.
Space group Pm-3m (No. 221)
Unique sites:
In (0.0000, 0.0000, 0.0000) [1 per cell]  6 F 2.08
C (0.5000, 0.5000, 0.5000) [1 per cell]  12 F 2.95
F (0.0000, 0.0000, 0.5000) [3 per cell]  2 In 2.08

Computed properties:
- Total magnetization: 0.400 μB/atom
- ρ: 4.2 g/cm³
- Raw formation energy: -0.570 eV/atom
- N(E_F): 6.00 states/eV/cell
- Calculated volume: 14.485 A^3/atom



Here is RbInC2F at its PBEsol-relaxed geometry from Alexandria. Energies are from meta-GGA SCAN.

Lattice parameters (Å, degrees): 4.4090 4.4090 4.6683 90.00 90.00 90.00
Closest atoms and distances in Å follow each position.
Space group P4/mmm (No. 123)
Unique sites:
Rb (0.0000, 0.0000, 0.0000) [1 per cell]  2 F 2.33
In (0.5000, 0.5000, 0.0000) [1 per cell]  4 Rb 3.12, 8 C 3.21
C (0.0000, 0.5000, 0.5000) [2 per cell]  2 F 2.20
F (0.0000, 0.0000, 0.5000) [1 per cell]  4 C 2.20, 2 Rb 2.33

Computed properties:
- Total magnetization: 0.526 μB/atom
- ρ: 4.5 g/cm³
- Raw formation energy: 1.936 eV/atom
- N(E_F): 2.35 states/eV/cell
- Calculated volume: 18.150 A^3/atom



Here is Ir2RhCF at its PBEsol-relaxed geometry from Alexandria. Energies are from meta-GGA SCAN.

Lattice parameters (Å, degrees): 4.6570 4.6570 3.7580 90.00 90.00 90.00
Closest atoms and distances in Å follow each position.
Space group P4/mmm (No. 123)
Unique sites:
Ir (0.0000, 0.5000, 0.0000) [2 per cell]  2 Rh 2.33
Rh (0.0000, 0.0000, 0.0000) [1 per cell]  2 F 1.88
C (0.5000, 0.5000, 0.5000) [1 per cell]  8 Ir 2.99, 4 F 3.29
F (0.0000, 0.0000, 0.5000) [1 per cell]  2 Rh 1.88

Computed properties:
- Total magnetization: 0.000 μB/atom
- ρ: 10.6 g/cm³
- Raw formation energy: 2.355 eV/atom
- N(E_F): 4.58 states/eV/cell
- Calculated volume: 16.300 A^3/atom



Here is SbIr2CF at its PBEsol-relaxed geometry from Alexandria. Energies are from meta-GGA SCAN.

Lattice parameters (Å, degrees): 3.9259 3.9259 4.6345 90.00 90.00 90.00
Closest atoms and distances in Å follow each position.
Space group P4/mmm (No. 123)
Unique sites:
Sb (0.0000, 0.0000, 0.0000) [1 per cell]  4 F 2.78, 8 Ir 3.04
Ir (0.0000, 0.5000, 0.5000) [2 per cell]  2 C 1.96
C (0.5000, 0.5000, 0.5000) [1 per cell]  4 Ir 1.96
F (0.5000, 0.5000, 0.0000) [1 per cell]  2 C 2.32

Computed properties:
- Total magnetization: 0.000 μB/atom
- ρ: 12.5 g/cm³
- Raw formation energy: 0.136 eV/atom
- N(E_F): 1.11 states/eV/cell
- Calculated volume: 14.286 A^3/atom



Here is KC2F2 at its PBEsol-relaxed geometry from Alexandria. Energies are from meta-GGA SCAN.

Lattice parameters (Å, degrees): 6.6473 6.6473 3.3163 90.00 90.00 90.00
Closest atoms and distances in Å follow each position.
Space group P4/mbm (No. 127)
Unique sites:
K (0.0000, 0.0000, 0.0000) [2 per cell]  4 F 2.63
C (0.0738, 0.4262, 0.5000) [4 per cell]  1 C 1.39
F (0.1240, 0.6240, 0.0000) [4 per cell]  4 C 2.14, 1 F 2.33

Computed properties:
- Total magnetization: 0.000 μB/atom
- ρ: 2.3 g/cm³
- Raw formation energy: 0.322 eV/atom
- N(E_F): 1.13 states/eV/cell
- Calculated volume: 14.653 A^3/atom



Here is KCF2 at its PBEsol-relaxed geometry from Alexandria. Energies are from meta-GGA SCAN.

Lattice parameters (Å, degrees): 4.7231 4.7231 11.9248 90.00 90.00 90.00
Closest atoms and distances in Å follow each position.
Space group I-42d (No. 122)
Unique sites:
K (0.0000, 0.0000, 0.0000) [4 per cell]  4 F 2.59
C (0.0000, 0.0000, 0.5000) [4 per cell]  4 F 2.00
F (0.1279, 0.2500, 0.6250) [8 per cell]  2 C 2.00

Computed properties:
- Total magnetization: 0.250 μB/atom
- ρ: 2.2 g/cm³
- Raw formation energy: -0.210 eV/atom
- N(E_F): 0.88 states/eV/cell
- Calculated volume: 16.626 A^3/atom



Here is KCN2F at its PBEsol-relaxed geometry from Alexandria. Energies are from meta-GGA SCAN.

Lattice parameters (Å, degrees): 6.1801 6.1801 4.7217 90.00 90.00 90.00
Closest atoms and distances in Å follow each position.
Space group P4/mmm (No. 123)
Unique sites:
K (0.0000, 0.0000, 0.0000) [1 per cell]  2 F 2.36
C (0.5000, 0.5000, 0.5000) [1 per cell]  8 N 3.89
N (0.0000, 0.5000, 0.0000) [2 per cell]  2 K 3.09
F (0.0000, 0.0000, 0.5000) [1 per cell]  2 K 2.36

Computed properties:
- Total magnetization: 1.603 μB/atom
- ρ: 0.9 g/cm³
- Raw formation energy: 2.510 eV/atom
- N(E_F): 7.56 states/eV/cell
- Calculated volume: 36.067 A^3/atom